# 1
VASP calculation (SCAN) on a crystal of TaCd2Co2 relaxed with PBEsol.

Calculated values
DOS at the Fermi energy in states/eV/f.u.: 4.396

Unit cell a=3.072 b=3.072 c=9.048 alpha=99.77 beta=99.77 gamma=90.00
Each line ends with the local moment (μB).
Fractional positions:
Cd1 0.381 0.381 0.762  -0.03
Cd2 0.619 0.619 0.238  -0.03
Co1 0.250 0.750 0.500  1.77
Co2 0.750 0.250 0.500  1.77
Ta1 0.000 0.000 0.000  -0.21

=====

# 2
VASP calculation (SCAN) on a crystal of Ta2CdCo relaxed with PBEsol.

Calculated values
DOS at the Fermi energy in states/eV/f.u.: 3.338

Unit cell a=3.215 b=4.392 c=5.254 alpha=114.71 beta=107.82 gamma=90.00
Fractional positions:
Cd1 0.000 0.500 0.000
Ta1 0.230 0.230 0.461
Ta2 0.770 0.770 0.539
Co1 0.500 0.000 0.000

=====

# 3
VASP calculation (SCAN) on a crystal of TaCdCo2 relaxed with PBEsol.

Calculated values
DOS at the Fermi energy in states/eV/f.u.: 2.684

Unit cell a=2.743 b=4.502 c=4.883 alpha=105.34 beta=106.31 gamma=90.00
Each line ends with the local moment (μB).
Fractional positions:
Co1 0.726 0.275 0.452  1.17
Co2 0.022 0.979 0.044  1.47
Ta1 0.485 0.445 0.970  -0.20
Cd1 0.267 0.800 0.534  -0.03

=====

no.,E_form (eV per atom),total DFT energy (no corrections) (eV/atom)
1,0.5710,-31.83
2,0.2730,-44.95
3,0.2541,-32.65